Record 1
Below is a relaxed structure of CeNiSn2, with properties calculated at the PBE level.

Calculated values
E_form	-1.161	eV/f.u.
energy relative to the lowest polymorph listed for this composition	0.243	eV/atom

Cell lengths 4.5136, 4.4643, 4.4643 Å; angles 90.00, 90.00, 90.00 degrees
Last column: magnetic moment on the atom in μB.
Fractional coordinates of all 4 atoms:
Ni 0.5000 0.0000 0.0000  0.13
Ce 0.5000 0.5000 0.5000  0.37
Sn 0.0000 0.0000 0.5000  0.02
Sn 0.0000 0.5000 0.0000  0.02


Record 2
Below is a relaxed structure of RbSr2Cu, with properties calculated at the PBE level.

Calculated values
E_form	0.327	eV/f.u.
energy relative to the lowest polymorph listed for this composition	0.000	eV/atom

Cell lengths 4.4884, 4.4884, 12.4626 Å; angles 79.63, 79.63, 60.00 degrees
Fractional coordinates of all 4 atoms:
Sr 0.8793 0.8793 0.3622
Sr 0.1207 0.1207 0.6378
Rb 0.0000 0.0000 0.0000
Cu 0.5000 0.5000 0.5000


Record 3
Below is a relaxed structure of Li2IrRh, with properties calculated at the PBE level.

Calculated values
E_form	-0.290	eV/f.u.
energy relative to the lowest polymorph listed for this composition	0.144	eV/atom

Cell lengths 2.7865, 2.7865, 7.1699 Å; angles 90.00, 90.00, 90.00 degrees
Fractional coordinates of all 4 atoms:
Li 0.0000 0.0000 0.9906
Li 0.5000 0.5000 0.2595
Ir 0.5000 0.5000 0.7482
Rh 0.0000 0.0000 0.5017


Record 4
Below is a relaxed structure of Na4LaEr3Se8, with properties calculated at the PBE level.

Calculated values
raw formation energy	-1.71	eV per atom

Cell lengths 8.3626, 8.5070, 8.3626 Å; angles 119.47, 120.00, 90.00 degrees
Fractional coordinates of all 16 atoms:
Se 0.2578 0.2738 0.5157
Se 0.7422 0.7262 0.4843
Se 0.2498 0.7310 0.4996
Se 0.2683 0.2690 0.0185
Se 0.7317 0.7310 0.9815
Se 0.2498 0.7310 0.9815
Se 0.7502 0.2690 0.5004
Se 0.7502 0.2690 0.0185
La 0.0000 0.5000 0.0000
Er 0.0000 0.5000 0.5000
Er 0.5000 0.5000 0.0000
Er 0.5000 0.5000 0.5000
Na 0.5000 0.0000 0.5000
Na 0.5000 0.0000 0.0000
Na 0.0000 0.0000 0.0000
Na 0.0000 0.0000 0.5000